Run P
Density functional theory data (PBE) for SrBiSe3 after structural relaxation.

Unit cell a=5.684 b=5.684 c=5.684 alpha=90.00 beta=90.00 gamma=90.00
Space group Pm-3m (No. 221)
Inequivalent atoms, fractional coordinates:
Sr 0.000 0.000 0.000 x1
Bi 0.500 0.500 0.500 x1
Se 0.000 0.000 0.500 x3

Computed properties:
* DOS at the Fermi energy: 0.89 states/eV/atom
* V: 183.7 Å³ per cell


Run Q
Density functional theory data (PBE) for SrBiSe3 after structural relaxation.

Unit cell a=15.846 b=5.648 c=8.237 alpha=90.00 beta=111.46 gamma=90.00
Space group C2/m (No. 12)
Inequivalent atoms, fractional coordinates:
Sr 0.128 0.000 0.318 x4
Bi 0.155 0.500 0.873 x4
Se 0.041 0.500 0.160 x4
Se 0.148 0.000 0.951 x4
Se 0.162 0.500 0.547 x4

Computed properties:
* V: 686.0 Å³ per cell


Run R
Density functional theory data (PBE) for SrBiSe3 after structural relaxation.

Unit cell a=5.504 b=5.504 c=5.504 alpha=90.00 beta=90.00 gamma=90.00
Space group Pm-3m (No. 221)
Inequivalent atoms, fractional coordinates:
Sr 0.000 0.000 0.000 x1
Bi 0.500 0.500 0.500 x1
Se 0.000 0.500 0.500 x3

Computed properties:
* DOS at the Fermi energy: 0.88 states/eV/atom
* V: 166.7 Å³ per cell


Stability summary - winner: run Q; margin: 34.7 kJ/mol of atoms.


Run P
Density functional theory data (PBE) for Sr2BiSe after structural relaxation.

Unit cell a=4.4214 b=4.4214 c=24.9442 alpha=90.00 beta=90.00 gamma=120.00
Space group R-3m (No. 166, hexagonal axes)
Inequivalent atoms, fractional coordinates:
Sr 0.0000 0.0000 0.2397 x6
Bi 0.0000 0.0000 0.0000 x3
Se 0.0000 0.0000 0.5000 x3

Computed properties:
* DOS at the Fermi energy: 0.40 states/eV/atom
* V: 422.3 Å³ per cell


Run Q
Density functional theory data (PBE) for Sr2BiSe after structural relaxation.

Unit cell a=8.555 b=8.555 c=7.985 alpha=90.00 beta=90.00 gamma=90.00
Space group I-42d (No. 122)
Inequivalent atoms, fractional coordinates:
Sr 0.217 0.250 0.125 x8
Bi 0.000 0.000 0.500 x4
Se 0.000 0.000 0.000 x4

Computed properties:
* DOS at the Fermi energy: 0.79 states/eV/atom
* V: 584.5 Å³ per cell


Run R
Density functional theory data (PBE) for Sr2BiSe after structural relaxation.

Unit cell a=3.867 b=3.867 c=8.427 alpha=90.00 beta=90.00 gamma=90.00
Space group P4/mmm (No. 123)
Inequivalent atoms, fractional coordinates:
Sr 0.000 0.000 0.223 x2
Bi 0.500 0.500 0.500 x1
Se 0.500 0.500 0.000 x1

Computed properties:
* DOS at the Fermi energy: 0.22 states/eV/atom
* V: 126.0 Å³ per cell


Stability summary - winner: run P; margin: 7.3 kJ/mol of atoms.